VASP calculation (PBE) on an optimized crystal structure of Si2WCl.

Computed properties:
V = 18.98 Å³ per atom
ΔE_f (raw) = 0.23 eV per atom
space-group type = No. 99
offset from the most stable computed form = 0.00 eV/f.u.

Lattice parameters (Å, degrees): 3.102 3.102 7.887 90.00 90.00 90.00
Fractional coordinates of all 4 atoms:
Si1 0.500 0.500 0.275
Cl1 0.500 0.500 0.664
W1 0.000 0.000 0.446
Si2 0.000 0.000 0.115

VASP calculation (PBE) on an optimized crystal structure of HoTmCdPt.

Computed properties:
V = 22.78 Å³ per atom
energy relative to the elements = -0.749 eV/atom
space-group type = No. 216

Lattice parameters (Å, degrees): 5.051 5.051 5.051 60.00 60.00 60.00
Fractional coordinates of all 4 atoms:
Tm1 0.500 0.500 0.500
Pt1 0.750 0.750 0.750
Ho1 0.000 0.000 0.000
Cd1 0.250 0.250 0.250